# Li2Ta2O5 | OQMD via LeMat-Bulk | PBE | relaxed
# Polymorph energy (0 for the lowest one)   0 meV/atom
# Uncorrected energy   -72.653 eV/cell
# Total moment   0.000 μB per atom
data_Li2Ta2O5
_chemical_formula_sum 'Li2 Ta2 O5'
_cell_length_a 3.9366
_cell_length_b 3.9366
_cell_length_c 7.1056
_cell_angle_alpha 90.00
_cell_angle_beta 90.00
_cell_angle_gamma 90.00
_space_group_name_H-M_alt 'P 4/m m m'
_space_group_IT_number 123
_space_group_name_Hall '-P 4 2'
loop_
_atom_site_label
_atom_site_fract_x
_atom_site_fract_y
_atom_site_fract_z
_atom_site_occupancy
Li1 0.0000 0.0000 0.0000 1
Li2 0.0000 0.0000 0.5000 1
Ta1 0.5000 0.5000 0.2191 1
O1 0.0000 0.5000 0.2076 1
O2 0.5000 0.5000 0.5000 1

# Li4TbTaO6 | OQMD via LeMat-Bulk | PBE | relaxed
# Uncorrected energy   -169.872 eV/cell
# Total moment   0.000 μB per atom
data_Li4TbTaO6
_chemical_formula_sum 'Li8 Tb2 Ta2 O12'
_cell_length_a 5.4331
_cell_length_b 9.4528
_cell_length_c 5.2072
_cell_angle_alpha 90.00
_cell_angle_beta 109.91
_cell_angle_gamma 90.00
_space_group_name_H-M_alt 'C 1 2 1'
_space_group_IT_number 5
loop_
_space_group_symop_operation_xyz
'x,y,z'
'-x,y,-z'
'x+1/2,y+1/2,z'
'-x+1/2,y+1/2,-z'
loop_
_atom_site_label
_atom_site_fract_x
_atom_site_fract_y
_atom_site_fract_z
_atom_site_occupancy
Li1 0.0000 0.0000 0.0000 1
Li2 0.0000 0.1447 0.5000 1
Li3 0.0000 0.3073 0.0000 1
Li4 0.0000 0.6234 0.0000 1
Tb1 0.0000 0.8118 0.5000 1
Ta1 0.0000 0.4780 0.5000 1
O1 0.2246 0.3289 0.7377 1
O2 0.2284 0.4820 0.2690 1
O3 0.2303 0.6307 0.7409 1

# Li6TaTlO6 | OQMD via LeMat-Bulk | PBE | relaxed
# Uncorrected energy   -253.073 eV/cell
# Total moment   0.000 μB per atom
data_Li6TaTlO6
_chemical_formula_sum 'Li18 Ta3 Tl3 O18'
_cell_length_a 8.2412
_cell_length_b 8.2412
_cell_length_c 7.2484
_cell_angle_alpha 90.00
_cell_angle_beta 90.00
_cell_angle_gamma 120.00
_space_group_name_H-M_alt 'R -3 m'
_space_group_IT_number 166
_space_group_name_Hall '-R 3 2"'
loop_
_atom_site_label
_atom_site_fract_x
_atom_site_fract_y
_atom_site_fract_z
_atom_site_occupancy
Li1 0.0000 0.3449 0.0000 1
Ta1 0.0000 0.0000 0.0000 1
Tl1 0.0000 0.0000 0.5000 1
O1 0.0971 0.5486 0.8196 1

# Li3Y3Ta2O12 | OQMD via LeMat-Bulk | PBE | relaxed
# Uncorrected energy   -1306.712 eV/cell
# Total moment   0.100 μB per atom
data_Li3Y3Ta2O12
_chemical_formula_sum 'Li24 Y24 Ta16 O96'
_cell_length_a 12.3183
_cell_length_b 12.3183
_cell_length_c 12.3183
_cell_angle_alpha 90.00
_cell_angle_beta 90.00
_cell_angle_gamma 90.00
_space_group_name_H-M_alt 'I a -3 d'
_space_group_IT_number 230
_space_group_name_Hall '-I 4bd 2c 3'
loop_
_atom_site_label
_atom_site_fract_x
_atom_site_fract_y
_atom_site_fract_z
_atom_site_occupancy
Li1 0.0000 0.2500 0.3750 1
Y1 0.0000 0.2500 0.1250 1
Ta1 0.0000 0.0000 0.0000 1
O1 0.0273 0.0584 0.6485 1